w | A relaxed NbTe2Os crystal. Source: Alexandria via LeMat-Bulk, functional GGA-PBE.

POSCAR file:
```
NbTe2Os
1.0
-3.089 3.089 5.955
3.089 -3.089 5.955
3.089 3.089 -5.955
Nb Te Os
2 4 2
Direct
0.000 0.000 0.000
0.750 0.250 0.500
0.149 0.625 0.024
0.375 0.399 0.524
0.601 0.125 0.976
0.875 0.851 0.476
0.250 0.750 0.500
0.500 0.500 0.000
```

calculated volume: 28.4 Å³ per atom

=====

x | A relaxed NbTe2Os crystal. Source: Alexandria via LeMat-Bulk, functional GGA-PBE.

POSCAR file:
```
NbTe2Os
1.0
1.662 0.960 9.092
-1.662 0.960 9.092
0.000 -1.919 9.092
Nb Te Os
1 2 1
Direct
0.000 0.000 0.000
0.407 0.407 0.407
0.593 0.593 0.593
0.500 0.500 0.500
```

calculated volume: 21.8 Å³ per atom

=====

Stability, highest: x